Entry 1:
# K4Rb7Pd, optimized geometry, DFT PBE
data_K4Rb7Pd
_chemical_formula_sum 'K4 Rb7 Pd1'
_cell_length_a 6.863
_cell_length_b 8.531
_cell_length_c 17.307
_cell_angle_alpha 102.44
_cell_angle_beta 90.00
_cell_angle_gamma 113.72
_space_group_name_H-M_alt 'P 1'
_space_group_IT_number 1
loop_
_space_group_symop_operation_xyz
'x,y,z'
loop_
_atom_site_label
_atom_site_fract_x
_atom_site_fract_y
_atom_site_fract_z
_atom_site_occupancy
K1 0.959 0.917 0.172 1
K2 0.687 0.375 0.271 1
K3 0.313 0.625 0.729 1
K4 0.041 0.083 0.828 1
Rb1 0.500 0.000 0.000 1
Rb2 0.412 0.824 0.356 1
Rb3 0.588 0.176 0.644 1
Rb4 0.786 0.572 0.913 1
Rb5 0.138 0.276 0.450 1
Rb6 0.862 0.724 0.550 1
Rb7 0.214 0.428 0.087 1
Pd1 0.000 0.000 0.000 1
# - total energy (eV/atom) = -1.330
# - ΔE_f (meV per atom) = 33
# - magnetization (μB per formula unit) = 0.0



Entry 2:
# K2RbPd2, optimized geometry, DFT PBE
data_K2RbPd2
_chemical_formula_sum 'K2 Rb1 Pd2'
_cell_length_a 5.322
_cell_length_b 5.322
_cell_length_c 7.424
_cell_angle_alpha 68.99
_cell_angle_beta 68.99
_cell_angle_gamma 90.00
_space_group_name_H-M_alt 'P 1'
_space_group_IT_number 1
loop_
_space_group_symop_operation_xyz
'x,y,z'
loop_
_atom_site_label
_atom_site_fract_x
_atom_site_fract_y
_atom_site_fract_z
_atom_site_occupancy
K1 0.250 0.750 0.500 1
K2 0.750 0.250 0.500 1
Pd1 0.397 0.397 0.206 1
Pd2 0.603 0.603 0.794 1
Rb1 0.000 0.000 0.000 1
# - excess energy over the best structure of this formula in the dataset (eV/atom) = 0.0068
# - total energy (eV/atom) = -2.522
# - ΔE_f (meV per atom) = 188
# - magnetization (μB per formula unit) = 0.0



Entry 3:
# KRb14Pd, optimized geometry, DFT PBE
data_KRb14Pd
_chemical_formula_sum 'K1 Rb14 Pd1'
_cell_length_a 10.020
_cell_length_b 10.020
_cell_length_c 13.449
_cell_angle_alpha 90.00
_cell_angle_beta 90.00
_cell_angle_gamma 103.44
_space_group_name_H-M_alt 'P 1'
_space_group_IT_number 1
loop_
_space_group_symop_operation_xyz
'x,y,z'
loop_
_atom_site_label
_atom_site_fract_x
_atom_site_fract_y
_atom_site_fract_z
_atom_site_occupancy
Rb1 0.127 0.383 0.500 1
Rb2 0.900 0.100 0.710 1
Rb3 0.465 0.190 0.673 1
Rb4 0.623 0.953 0.000 1
Rb5 0.101 0.899 0.000 1
Rb6 0.810 0.535 0.673 1
Rb7 0.810 0.535 0.327 1
Rb8 0.465 0.190 0.327 1
Rb9 0.617 0.873 0.500 1
Rb10 0.335 0.665 0.235 1
Rb11 0.335 0.665 0.765 1
Rb12 0.047 0.377 0.000 1
Rb13 0.900 0.100 0.290 1
Rb14 0.573 0.427 0.000 1
Pd1 0.762 0.238 0.500 1
K1 0.131 0.869 0.500 1
# - total energy (eV/atom) = -1.192
# - ΔE_f (meV per atom) = 48
# - magnetization (μB per formula unit) = 0.0



Entry 4:
# K6Rb5Pd, optimized geometry, DFT PBE
data_K6Rb5Pd
_chemical_formula_sum 'K6 Rb5 Pd1'
_cell_length_a 8.544
_cell_length_b 12.472
_cell_length_c 11.021
_cell_angle_alpha 114.38
_cell_angle_beta 99.46
_cell_angle_gamma 113.25
_space_group_name_H-M_alt 'P 1'
_space_group_IT_number 1
loop_
_space_group_symop_operation_xyz
'x,y,z'
loop_
_atom_site_label
_atom_site_fract_x
_atom_site_fract_y
_atom_site_fract_z
_atom_site_occupancy
Rb1 0.000 0.500 0.000 1
Rb2 0.638 0.638 0.276 1
Rb3 0.734 0.234 0.469 1
Rb4 0.266 0.766 0.531 1
Rb5 0.362 0.362 0.724 1
K1 0.874 0.050 0.753 1
K2 0.587 0.855 0.000 1
K3 0.878 0.702 0.753 1
K4 0.126 0.950 0.247 1
K5 0.122 0.298 0.247 1
K6 0.413 0.145 0.000 1
Pd1 0.000 0.000 0.000 1
# - total energy (eV/atom) = -1.332
# - ΔE_f (meV per atom) = 53
# - magnetization (μB per formula unit) = 0.0



Entry 5:
# K8Rb3Pd2, optimized geometry, DFT PBE
data_K8Rb3Pd2
_chemical_formula_sum 'K8 Rb3 Pd2'
_cell_length_a 5.161
_cell_length_b 12.314
_cell_length_c 12.840
_cell_angle_alpha 83.73
_cell_angle_beta 90.00
_cell_angle_gamma 90.00
_space_group_name_H-M_alt 'P 1'
_space_group_IT_number 1
loop_
_space_group_symop_operation_xyz
'x,y,z'
loop_
_atom_site_label
_atom_site_fract_x
_atom_site_fract_y
_atom_site_fract_z
_atom_site_occupancy
K1 0.000 0.140 0.739 1
K2 0.500 0.914 0.632 1
K3 0.500 0.414 0.727 1
K4 0.000 0.321 0.469 1
K5 0.500 0.086 0.368 1
K6 0.000 0.679 0.531 1
K7 0.500 0.586 0.273 1
K8 0.000 0.860 0.261 1
Rb1 0.000 0.681 0.914 1
Rb2 0.500 0.000 0.000 1
Rb3 0.000 0.319 0.086 1
Pd1 0.500 0.804 0.407 1
Pd2 0.500 0.196 0.593 1
# - total energy (eV/atom) = -1.645
# - ΔE_f (meV per atom) = 53
# - magnetization (μB per formula unit) = 0.0



Entry 6:
# K2Rb6Pd, optimized geometry, DFT PBE
data_K2Rb6Pd
_chemical_formula_sum 'K4 Rb12 Pd2'
_cell_length_a 9.869
_cell_length_b 9.881
_cell_length_c 13.714
_cell_angle_alpha 90.00
_cell_angle_beta 90.19
_cell_angle_gamma 90.00
_space_group_name_H-M_alt 'P 1'
_space_group_IT_number 1
loop_
_space_group_symop_operation_xyz
'x,y,z'
loop_
_atom_site_label
_atom_site_fract_x
_atom_site_fract_y
_atom_site_fract_z
_atom_site_occupancy
Pd1 0.000 0.000 0.500 1
Pd2 0.500 0.500 0.000 1
Rb1 0.739 0.740 0.000 1
Rb2 0.002 0.000 0.743 1
Rb3 0.240 0.238 0.501 1
Rb4 0.740 0.262 0.001 1
Rb5 0.260 0.738 0.999 1
Rb6 0.498 0.500 0.757 1
Rb7 0.261 0.260 0.000 1
Rb8 0.502 0.500 0.243 1
Rb9 0.998 0.000 0.257 1
Rb10 0.761 0.240 0.500 1
Rb11 0.239 0.760 0.500 1
Rb12 0.760 0.762 0.499 1
K1 0.996 0.500 0.750 1
K2 0.496 0.000 0.250 1
K3 0.504 0.000 0.750 1
K4 0.004 0.500 0.250 1
# - total energy (eV/atom) = -1.423
# - ΔE_f (meV per atom) = 43
# - magnetization (μB per formula unit) = 0.0



Question: Which value of magnetization does entry 2 give?
Answer: 0.0 μB per formula unit